[1]
{
  "formula": "Sb",
  "functional": "SCAN",
  "state": "single point on PBEsol structure",
  "cell": [[8.005, 0.000, 0.000], [0.000, 8.005, 0.000], [0.000, 0.000, 4.045]],
  "species": ["Sb", "Sb", "Sb", "Sb", "Sb", "Sb", "Sb", "Sb"],
  "fractional_positions": [[0.150, 0.350, 0.000], [0.150, 0.650, 0.500], [0.350, 0.150, 0.500], [0.350, 0.850, 0.000], [0.650, 0.150, 0.000], [0.650, 0.850, 0.500], [0.850, 0.350, 0.500], [0.850, 0.650, 0.000]],
  "relative_energy_ev_per_fu": 0.282,
  "raw_formation_energy_kj_per_mol_atoms": 27,
  "magmom_total_mub_per_fu": 0.0
}



[2]
{
  "formula": "BaV2CdO7",
  "functional": "SCAN",
  "state": "single point on PBEsol structure",
  "cell": [[15.367, 0.000, 0.000], [0.000, 5.684, 0.000], [0.000, 0.000, 7.425]],
  "species": ["Ba", "Ba", "Ba", "Ba", "V", "V", "V", "V", "V", "V", "V", "V", "Cd", "Cd", "Cd", "Cd", "O", "O", "O", "O", "O", "O", "O", "O", "O", "O", "O", "O", "O", "O", "O", "O", "O", "O", "O", "O", "O", "O", "O", "O", "O", "O", "O", "O"],
  "fractional_positions": [[0.213, 0.250, 0.140], [0.287, 0.750, 0.640], [0.713, 0.250, 0.360], [0.787, 0.750, 0.860], [0.060, 0.750, 0.301], [0.141, 0.250, 0.665], [0.359, 0.750, 0.165], [0.440, 0.250, 0.801], [0.560, 0.750, 0.199], [0.641, 0.250, 0.835], [0.859, 0.750, 0.335], [0.940, 0.250, 0.699], [0.051, 0.750, 0.883], [0.449, 0.250, 0.383], [0.551, 0.750, 0.617], [0.949, 0.250, 0.117], [0.035, 0.250, 0.561], [0.058, 0.508, 0.161], [0.058, 0.992, 0.161], [0.151, 0.010, 0.800], [0.151, 0.490, 0.800], [0.152, 0.750, 0.416], [0.223, 0.250, 0.518], [0.277, 0.750, 0.018], [0.348, 0.250, 0.916], [0.349, 0.510, 0.300], [0.349, 0.990, 0.300], [0.442, 0.008, 0.661], [0.442, 0.492, 0.661], [0.465, 0.750, 0.061], [0.535, 0.250, 0.939], [0.558, 0.508, 0.339], [0.558, 0.992, 0.339], [0.651, 0.010, 0.700], [0.651, 0.490, 0.700], [0.652, 0.750, 0.084], [0.723, 0.250, 0.982], [0.777, 0.750, 0.482], [0.848, 0.250, 0.584], [0.849, 0.510, 0.200], [0.849, 0.990, 0.200], [0.942, 0.008, 0.839], [0.942, 0.492, 0.839], [0.965, 0.750, 0.439]],
  "raw_formation_energy_kj_per_mol_atoms": -251,
  "magmom_total_mub_per_fu": 0.0
}



[3]
{
  "formula": "In2CoGeSe",
  "functional": "SCAN",
  "state": "single point on PBEsol structure",
  "cell": [[5.225, 0.000, 0.000], [0.000, 5.225, 0.000], [0.000, 0.000, 4.402]],
  "species": ["In", "In", "Co", "Ge", "Se"],
  "fractional_positions": [[0.000, 0.500, 0.000], [0.500, 0.000, 0.000], [0.000, 0.000, 0.500], [0.000, 0.000, 0.000], [0.500, 0.500, 0.500]],
  "raw_formation_energy_kj_per_mol_atoms": 35,
  "magmom_total_mub_per_fu": 2.0
}